DFT (GGA-PBE) results for a relaxed NbGaTe2 crystal.

As for the crystal system: monoclinic. The density of states at the Fermi level comes out at 4.35 states/eV/cell. The calculation puts the calculated total energy at -5.1512 eV per atom.

The structure belongs to space group Cm (No. 8); the cell edges are 17.126, 3.732 and 6.686 Å and the angles 90.00°, 99.04° and 90.00°. The asymmetric unit holds Nb at (0.000, 0.000, 0.000), Nb at (0.010, 0.500, 0.651), Ga at (0.232, 0.500, 0.111), Ga at (0.301, 0.000, 0.444), Te at (0.088, 0.500, 0.284), Te at (0.130, 0.000, 0.782), Te at (0.379, 0.000, 0.868) and Te at (0.424, 0.500, 0.367).

DFT (GGA-PBE) results for a relaxed NbGa3Te crystal.

As for the crystal system: cubic. The density of states at the Fermi level comes out at 7.16 states/eV/cell. The calculation puts the energy above the most stable polymorph in this dataset at 0.000 eV per atom.

The structure belongs to space group Pm-3m (No. 221); the cell edges are 5.131, 5.131 and 5.131 Å and the angles 90.00°, 90.00° and 90.00°. The asymmetric unit holds Nb at (0.000, 0.000, 0.000), Ga at (0.000, 0.000, 0.500) and Te at (0.500, 0.500, 0.500).

DFT (GGA-PBE) results for a relaxed Nb4GaTe8 crystal.

As for the crystal system: trigonal. The density of states at the Fermi level comes out at 26.80 states/eV/cell. The calculation puts the calculated total energy at -5.6372 eV per atom.

The structure belongs to space group R-3m (No. 166, hexagonal axes); the cell edges are 7.3853, 7.3853 and 24.0453 Å and the angles 90.00°, 90.00° and 120.00°. The asymmetric unit holds Nb at (0.0000, 0.0000, 0.0000), Nb at (0.0000, 0.5000, 0.0000), Ga at (0.0000, 0.0000, 0.5000), Te at (0.0000, 0.0000, 0.2564) and Te at (0.0008, 0.5004, 0.7436).

DFT (GGA-PBE) results for a relaxed Nb3GaTe crystal.

As for the crystal system: cubic. The density of states at the Fermi level comes out at 7.79 states/eV/cell. The calculation puts the energy above the most stable polymorph in this dataset at 0.410 eV per atom.

The structure belongs to space group Pm-3m (No. 221); the cell edges are 5.025, 5.025 and 5.025 Å and the angles 90.00°, 90.00° and 90.00°. The asymmetric unit holds Nb at (0.000, 0.000, 0.500), Ga at (0.500, 0.500, 0.500) and Te at (0.000, 0.000, 0.000).

DFT (GGA-PBE) results for a relaxed Nb3GaTe crystal.

As for the crystal system: cubic. The density of states at the Fermi level comes out at 5.93 states/eV/cell. The calculation puts the energy above the most stable polymorph in this dataset at 0.000 eV per atom.

The structure belongs to space group Pm-3m (No. 221); the cell edges are 4.802, 4.802 and 4.802 Å and the angles 90.00°, 90.00° and 90.00°. The asymmetric unit holds Nb at (0.000, 0.000, 0.500), Ga at (0.000, 0.000, 0.000) and Te at (0.500, 0.500, 0.500).

DFT (GGA-PBE) results for a relaxed NbGaTe2 crystal.

As for the crystal system: tetragonal. The density of states at the Fermi level comes out at 4.19 states/eV/cell. The calculation puts the calculated total energy at -4.7228 eV per atom.

The structure belongs to space group I-42d (No. 122); the cell edges are 6.824, 6.824 and 12.367 Å and the angles 90.00°, 90.00° and 90.00°. The asymmetric unit holds Nb at (0.000, 0.000, 0.000), Ga at (0.000, 0.000, 0.500) and Te at (0.217, 0.250, 0.125).

DFT (GGA-PBE) results for a relaxed NbGaTe2 crystal.

As for the crystal system: trigonal. The density of states at the Fermi level comes out at 12.73 states/eV/cell. The calculation puts the calculated total energy at -4.3318 eV per atom.

The structure belongs to space group R-3m (No. 166, hexagonal axes); the cell edges are 3.7823, 3.7823 and 26.5908 Å and the angles 90.00°, 90.00° and 120.00°. The asymmetric unit holds Nb at (0.0000, 0.0000, 0.0000), Ga at (0.0000, 0.0000, 0.5000) and Te at (0.0000, 0.0000, 0.1003).

DFT (GGA-PBE) results for a relaxed NbGa2Te6 crystal.

As for the crystal system: monoclinic. The density of states at the Fermi level comes out at 10.50 states/eV/cell. The calculation puts the calculated total energy at -4.0803 eV per atom.

The structure belongs to space group C2/c (No. 15); the cell edges are 13.035, 12.616 and 7.668 Å and the angles 90.00°, 104.40° and 90.00°. The asymmetric unit holds Nb at (0.000, 0.107, 0.250), Ga at (0.187, 0.415, 0.316), Te at (0.091, 0.429, 0.590), Te at (0.104, 0.067, 0.612) and Te at (0.170, 0.216, 0.198).

DFT (GGA-PBE) results for a relaxed NbGaTe4 crystal.

As for the crystal system: monoclinic. The density of states at the Fermi level comes out at 9.34 states/eV/cell. The calculation puts the calculated total energy at -4.4436 eV per atom.

The structure belongs to space group P2_1/c (No. 14); the cell edges are 6.917, 7.026 and 7.021 Å and the angles 90.00°, 90.01° and 90.00°. The asymmetric unit holds Nb at (0.000, 0.000, 0.000), Ga at (0.500, 0.000, 0.500), Te at (0.106, 0.139, 0.358) and Te at (0.363, 0.617, 0.389).

DFT (GGA-PBE) results for a relaxed NbTlGaTe2 crystal.

As for the crystal system: tetragonal. The density of states at the Fermi level comes out at 2.49 states/eV/cell. The calculation puts the calculated total energy at -4.1568 eV per atom.

The structure belongs to space group P4/mmm (No. 123); the cell edges are 5.457, 5.457 and 5.569 Å and the angles 90.00°, 90.00° and 90.00°. The asymmetric unit holds Nb at (0.000, 0.000, 0.000), Tl at (0.000, 0.000, 0.500), Ga at (0.500, 0.500, 0.500) and Te at (0.000, 0.500, 0.000).

DFT (GGA-PBE) results for a relaxed ThNbGa crystal.

The formation energy is -0.31 eV/atom. As for the crystal system: tetragonal. The density of states at the Fermi level comes out at 11.94 states/eV/cell. The calculation puts the energy above the most stable polymorph in this dataset at 0.005 eV per atom.

The structure belongs to space group I4/mmm (No. 139); the cell edges are 4.058, 4.058 and 16.733 Å and the angles 90.00°, 90.00° and 90.00°. The asymmetric unit holds Th at (0.000, 0.000, 0.179), Nb at (0.000, 0.500, 0.000) and Ga at (0.000, 0.000, 0.383).

DFT (GGA-PBE) results for a relaxed ThNbGa crystal.

The formation energy is 0.03 eV/atom. As for the crystal system: hexagonal. The density of states at the Fermi level comes out at 4.30 states/eV/cell. The calculation puts the energy above the most stable polymorph in this dataset at 0.346 eV per atom.

The structure belongs to space group P-6m2 (No. 187); the cell edges are 4.6031, 4.6031 and 3.8331 Å and the angles 90.00°, 90.00° and 120.00°. The asymmetric unit holds Th at (0.0000, 0.0000, 0.0000), Nb at (0.6667, 0.3333, 0.5000) and Ga at (0.3333, 0.6667, 0.5000).